Record 1
TbPa2WC4: relaxed, PBE.

Unit cell a=6.213 b=6.213 c=12.561 alpha=90.00 beta=90.00 gamma=147.50
Fractional positions:
Tb 0.109 0.891 0.750
Tb 0.891 0.109 0.250
Pa 0.367 0.633 0.539
Pa 0.367 0.633 0.961
Pa 0.633 0.367 0.039
Pa 0.633 0.367 0.461
W 0.158 0.842 0.250
W 0.842 0.158 0.750
C 0.000 0.000 0.000
C 0.000 0.000 0.500
C 0.264 0.736 0.128
C 0.264 0.736 0.372
C 0.436 0.564 0.750
C 0.564 0.436 0.250
C 0.736 0.264 0.628
C 0.736 0.264 0.872

Results
- Space-group type: Cmcm (63)
- Crystal system: orthorhombic
- Formation energy: -0.89 eV/f.u.



Record 2
PaTc3C: relaxed, PBE.

Unit cell a=4.209 b=4.209 c=4.209 alpha=90.00 beta=90.00 gamma=90.00
Fractional positions:
Pa 0.000 0.000 0.000
Tc 0.000 0.500 0.500
Tc 0.500 0.000 0.500
Tc 0.500 0.500 0.000
C 0.500 0.500 0.500

Results
- Space-group type: Pm-3m (221)
- Crystal system: cubic
- Formation energy: -1.42 eV/f.u.



Record 3
PaTc2C: relaxed, PBE.

Unit cell a=3.326 b=3.326 c=5.557 alpha=90.00 beta=90.00 gamma=90.00
Fractional positions:
Pa 0.000 0.000 0.000
Tc 0.500 0.500 0.274
Tc 0.500 0.500 0.726
C 0.000 0.000 0.500

Results
- Energy above the most stable polymorph in this dataset: 905.5 meV/atom
- Space-group type: P4/mmm (123)
- Crystal system: tetragonal
- Formation energy: 3.86 eV/f.u.



Record 4
Pa5TcC4: relaxed, PBE.

Unit cell a=7.022 b=8.134 c=5.998 alpha=90.00 beta=90.00 gamma=90.00
Fractional positions:
Pa 0.002 0.076 0.223
Pa 0.002 0.424 0.223
Pa 0.250 0.250 0.642
Pa 0.498 0.076 0.223
Pa 0.498 0.424 0.223
Pa 0.502 0.576 0.777
Pa 0.502 0.924 0.777
Pa 0.750 0.750 0.358
Pa 0.998 0.576 0.777
Pa 0.998 0.924 0.777
Tc 0.250 0.750 0.328
Tc 0.750 0.250 0.672
C 0.019 0.750 0.117
C 0.250 0.518 0.476
C 0.250 0.982 0.476
C 0.481 0.750 0.117
C 0.519 0.250 0.883
C 0.750 0.018 0.524
C 0.750 0.482 0.524
C 0.981 0.250 0.883

Results
- Space-group type: Pmmn (59)
- Crystal system: orthorhombic
- Formation energy: -0.01 eV/f.u.



Record 5
PaTcC2: relaxed, PBE.

Unit cell a=5.570 b=5.570 c=5.570 alpha=35.18 beta=35.18 gamma=35.18
Fractional positions:
Pa 0.000 0.000 0.000
Tc 0.500 0.500 0.500
C 0.238 0.238 0.238
C 0.762 0.762 0.762

Results
- Energy above the most stable polymorph in this dataset: 0.0 meV/atom
- Space-group type: R-3m (166)
- Crystal system: trigonal
- Formation energy: -0.31 eV/f.u.



Record 6
PaTc2C: relaxed, PBE.

Unit cell a=7.862 b=7.862 c=7.862 alpha=22.26 beta=22.26 gamma=22.26
Fractional positions:
Pa 0.000 0.000 0.000
Tc 0.216 0.216 0.216
Tc 0.784 0.784 0.784
C 0.500 0.500 0.500

Results
- Energy above the most stable polymorph in this dataset: 89.0 meV/atom
- Space-group type: R-3m (166)
- Crystal system: trigonal
- Formation energy: 0.60 eV/f.u.



Record 7
Pa12Tc6C: relaxed, PBE.

Unit cell a=7.535 b=7.535 c=7.535 alpha=93.58 beta=93.58 gamma=93.58
Fractional positions:
Pa 0.006 0.053 0.323
Pa 0.053 0.323 0.006
Pa 0.192 0.416 0.547
Pa 0.323 0.006 0.053
Pa 0.416 0.547 0.192
Pa 0.453 0.808 0.584
Pa 0.547 0.192 0.416
Pa 0.584 0.453 0.808
Pa 0.677 0.994 0.947
Pa 0.808 0.584 0.453
Pa 0.947 0.677 0.994
Pa 0.994 0.947 0.677
Tc 0.129 0.676 0.338
Tc 0.324 0.662 0.871
Tc 0.338 0.129 0.676
Tc 0.662 0.871 0.324
Tc 0.676 0.338 0.129
Tc 0.871 0.324 0.662
C 0.000 0.000 0.000

Results
- Space-group type: R-3 (148)
- Crystal system: trigonal
- Formation energy: -0.16 eV/f.u.



Record 8
Pa2Tc3C2: relaxed, PBE.

Unit cell a=5.190 b=5.190 c=6.670 alpha=92.36 beta=92.36 gamma=35.33
Fractional positions:
Pa 0.110 0.110 0.355
Pa 0.890 0.890 0.645
Tc 0.196 0.196 0.840
Tc 0.500 0.500 0.000
Tc 0.804 0.804 0.160
C 0.407 0.407 0.313
C 0.593 0.593 0.687

Results
- Space-group type: C2/m (12)
- Crystal system: monoclinic
- Formation energy: -0.87 eV/f.u.



Record 9
Pa3Tc5C2: relaxed, PBE.

Unit cell a=8.129 b=8.129 c=8.129 alpha=117.21 beta=79.90 gamma=135.89
Fractional positions:
Pa 0.122 0.723 0.845
Pa 0.250 0.250 0.000
Pa 0.378 0.223 0.601
Pa 0.622 0.777 0.399
Pa 0.750 0.750 0.000
Pa 0.878 0.277 0.155
Tc 0.010 0.750 0.260
Tc 0.132 0.262 0.394
Tc 0.250 0.750 0.500
Tc 0.368 0.762 0.131
Tc 0.490 0.750 0.740
Tc 0.510 0.250 0.260
Tc 0.632 0.238 0.869
Tc 0.750 0.250 0.500
Tc 0.868 0.738 0.606
Tc 0.990 0.250 0.740
C 0.152 0.017 0.169
C 0.348 0.517 0.865
C 0.652 0.483 0.135
C 0.848 0.983 0.831

Results
- Space-group type: Ibam (72)
- Crystal system: orthorhombic
- Formation energy: -0.83 eV/f.u.



Record 10
PaTc2C: relaxed, PBE.

Unit cell a=5.327 b=5.327 c=7.490 alpha=90.00 beta=90.00 gamma=146.24
Fractional positions:
Pa 0.061 0.939 0.750
Pa 0.939 0.061 0.250
Tc 0.348 0.652 0.558
Tc 0.348 0.652 0.942
Tc 0.652 0.348 0.058
Tc 0.652 0.348 0.442
C 0.217 0.783 0.250
C 0.783 0.217 0.750

Results
- Energy above the most stable polymorph in this dataset: 0.0 meV/atom
- Space-group type: Cmcm (63)
- Crystal system: orthorhombic
- Formation energy: 0.24 eV/f.u.



Record 11
PaTc2C2: relaxed, PBE.

Unit cell a=6.404 b=5.782 c=5.540 alpha=68.86 beta=57.36 gamma=53.78
Fractional positions:
Pa 0.125 0.125 0.125
Pa 0.875 0.875 0.875
Tc 0.232 0.232 0.518
Tc 0.482 0.482 0.768
Tc 0.518 0.518 0.232
Tc 0.768 0.768 0.482
C 0.180 0.570 0.180
C 0.430 0.820 0.430
C 0.570 0.180 0.570
C 0.820 0.430 0.820

Results
- Space-group type: Fddd (70)
- Crystal system: orthorhombic
- Formation energy: -0.48 eV/f.u.



Record 12
PaTcC2: relaxed, PBE.

Unit cell a=6.035 b=6.035 c=5.688 alpha=90.00 beta=90.00 gamma=151.54
Fractional positions:
Pa 0.048 0.952 0.750
Pa 0.952 0.048 0.250
Tc 0.212 0.788 0.250
Tc 0.788 0.212 0.750
C 0.362 0.638 0.527
C 0.362 0.638 0.973
C 0.638 0.362 0.027
C 0.638 0.362 0.473

Results
- Energy above the most stable polymorph in this dataset: 193.2 meV/atom
- Space-group type: Cmcm (63)
- Crystal system: orthorhombic
- Formation energy: 0.47 eV/f.u.



Record 13
Pa3TcC: relaxed, PBE.

Unit cell a=9.187 b=6.764 c=6.476 alpha=90.00 beta=90.00 gamma=90.00
Fractional positions:
Pa 0.020 0.250 0.088
Pa 0.180 0.032 0.591
Pa 0.180 0.468 0.591
Pa 0.320 0.532 0.091
Pa 0.320 0.968 0.091
Pa 0.480 0.750 0.588
Pa 0.520 0.250 0.412
Pa 0.680 0.032 0.909
Pa 0.680 0.468 0.909
Pa 0.820 0.532 0.409
Pa 0.820 0.968 0.409
Pa 0.980 0.750 0.912
Tc 0.091 0.750 0.308
Tc 0.409 0.250 0.808
Tc 0.591 0.750 0.192
Tc 0.909 0.250 0.692
C 0.248 0.750 0.801
C 0.252 0.250 0.301
C 0.748 0.750 0.699
C 0.752 0.250 0.199

Results
- Space-group type: Pnma (62)
- Crystal system: orthorhombic
- Formation energy: -0.78 eV/f.u.



Record 14
ThPa2TcC4: relaxed, PBE.

Unit cell a=6.267 b=6.267 c=11.827 alpha=90.00 beta=90.00 gamma=146.55
Fractional positions:
Th 0.111 0.889 0.750
Th 0.889 0.111 0.250
Pa 0.367 0.633 0.547
Pa 0.367 0.633 0.953
Pa 0.633 0.367 0.047
Pa 0.633 0.367 0.453
Tc 0.149 0.851 0.250
Tc 0.851 0.149 0.750
C 0.000 0.000 0.000
C 0.000 0.000 0.500
C 0.266 0.734 0.126
C 0.266 0.734 0.374
C 0.442 0.558 0.750
C 0.558 0.442 0.250
C 0.734 0.266 0.626
C 0.734 0.266 0.874

Results
- Space-group type: Cmcm (63)
- Crystal system: orthorhombic
- Formation energy: -1.76 eV/f.u.



Record 15
PaTi2TcC4: relaxed, PBE.

Unit cell a=5.884 b=5.884 c=10.772 alpha=90.00 beta=90.00 gamma=148.07
Fractional positions:
Pa 0.111 0.889 0.750
Pa 0.889 0.111 0.250
Ti 0.373 0.627 0.539
Ti 0.373 0.627 0.961
Ti 0.627 0.373 0.039
Ti 0.627 0.373 0.461
Tc 0.152 0.848 0.250
Tc 0.848 0.152 0.750
C 0.000 0.000 0.000
C 0.000 0.000 0.500
C 0.265 0.735 0.114
C 0.265 0.735 0.386
C 0.452 0.548 0.750
C 0.548 0.452 0.250
C 0.735 0.265 0.614
C 0.735 0.265 0.886

Results
- Space-group type: Cmcm (63)
- Crystal system: orthorhombic
- Formation energy: -2.33 eV/f.u.



Record 16
TmPaTcC3: relaxed, PBE.

Unit cell a=7.159 b=3.579 c=7.642 alpha=90.00 beta=90.75 gamma=90.00
Fractional positions:
Tm 0.143 0.250 0.157
Tm 0.857 0.750 0.843
Pa 0.382 0.750 0.825
Pa 0.618 0.250 0.175
Tc 0.102 0.250 0.590
Tc 0.898 0.750 0.410
C 0.130 0.250 0.845
C 0.173 0.750 0.500
C 0.397 0.750 0.127
C 0.603 0.250 0.873
C 0.827 0.250 0.500
C 0.870 0.750 0.155

Results
- Space-group type: P2_1/m (11)
- Crystal system: monoclinic
- Formation energy: -0.42 eV/f.u.



Record 17
UPa2TcC4: relaxed, PBE.

Unit cell a=6.196 b=6.196 c=11.806 alpha=90.00 beta=90.00 gamma=148.30
Fractional positions:
U 0.112 0.888 0.750
U 0.888 0.112 0.250
Pa 0.367 0.633 0.551
Pa 0.367 0.633 0.949
Pa 0.633 0.367 0.051
Pa 0.633 0.367 0.449
Tc 0.149 0.851 0.250
Tc 0.851 0.149 0.750
C 0.000 0.000 0.000
C 0.000 0.000 0.500
C 0.282 0.718 0.133
C 0.282 0.718 0.367
C 0.465 0.535 0.750
C 0.535 0.465 0.250
C 0.718 0.282 0.633
C 0.718 0.282 0.867

Results
- Space-group type: Cmcm (63)
- Crystal system: orthorhombic
- Formation energy: -0.98 eV/f.u.



Record 18
PaTeC: relaxed, PBE.

Unit cell a=6.605 b=6.605 c=6.605 alpha=151.43 beta=151.43 gamma=40.84
Fractional positions:
Pa 0.000 0.000 0.000
Te 0.265 0.265 0.000
C 0.544 0.544 0.000

Results
- Energy above the most stable polymorph in this dataset: 499.8 meV/atom
- Formation energy (no corrections): 0 kJ/mol of formula units
- Space-group type: I4mm (107)
- Crystal system: tetragonal



Record 19
Pa3TeC: relaxed, PBE.

Unit cell a=8.659 b=8.659 c=6.003 alpha=90.26 beta=90.26 gamma=102.24
Fractional positions:
Pa 0.066 0.206 0.591
Pa 0.073 0.684 0.899
Pa 0.196 0.541 0.430
Pa 0.206 0.066 0.091
Pa 0.316 0.927 0.601
Pa 0.459 0.804 0.070
Pa 0.541 0.196 0.930
Pa 0.684 0.073 0.399
Pa 0.794 0.934 0.909
Pa 0.804 0.459 0.570
Pa 0.927 0.316 0.101
Pa 0.934 0.794 0.409
Te 0.286 0.433 0.938
Te 0.433 0.286 0.438
Te 0.567 0.714 0.562
Te 0.714 0.567 0.062
C 0.054 0.946 0.750
C 0.205 0.795 0.250
C 0.795 0.205 0.750
C 0.946 0.054 0.250

Results
- Energy above the most stable polymorph in this dataset: 0.0 meV/atom
- Formation energy (no corrections): -199 kJ/mol of formula units
- Space-group type: C2/c (15)
- Crystal system: monoclinic



Record 20
PaTeC: relaxed, PBE.

Unit cell a=10.249 b=10.249 c=10.249 alpha=159.31 beta=159.31 gamma=29.43
Fractional positions:
Pa 0.183 0.183 0.000
Pa 0.817 0.817 0.000
Te 0.412 0.412 0.000
Te 0.588 0.588 0.000
C 0.298 0.298 0.000
C 0.702 0.702 0.000

Results
- Energy above the most stable polymorph in this dataset: 127.0 meV/atom
- Formation energy (no corrections): -107 kJ/mol of formula units
- Space-group type: I4/mmm (139)
- Crystal system: tetragonal